Record 1
The following is a meta-GGA SCAN calculation of SiTe3Se at its PBEsol-relaxed geometry, from the Alexandria database.

Output
Symmetry: Pm-3m (221)
N(E_F), states/eV/f.u.: 5.34
Formation energy (no corrections), eV per atom: 0.709
Crystal system: cubic
Volume, Å³ per cell: 136.5
Spin magnetization, μB/f.u.: 0.001
Calculated total energy, eV/atom: -27.660

Cell and atoms, written as extended XYZ:
```
5
Lattice="5.149 0.000 0.000 0.000 5.149 0.000 0.000 0.000 5.149" Properties=species:S:1:pos:R:3 pbc="T T T"
Si 0.000 0.000 0.000
Te 0.000 0.000 2.574
Te 0.000 2.574 0.000
Te 2.574 0.000 0.000
Se 2.574 2.574 2.574
```

Record 2
The following is a meta-GGA SCAN calculation of SrMg2Co2 at its PBEsol-relaxed geometry, from the Alexandria database.

Output
Symmetry: I4/mmm (139)
N(E_F), states/eV/f.u.: 2.52
Energy of formation from the pure elements, eV/atom: 0.271
Crystal system: tetragonal
Volume, Å³ per cell: 199.4
Spin magnetization, μB/f.u.: 2.792
Calculated total energy, eV/atom: -13.095

Cell and atoms, written as extended XYZ:
```
10
Lattice="4.313 0.000 0.000 0.000 4.313 0.000 0.000 0.000 10.717" Properties=species:S:1:pos:R:3 pbc="T T T"
Sr 0.000 0.000 0.000
Sr 2.157 2.157 5.358
Mg 0.000 2.157 2.679
Mg 0.000 2.157 8.038
Mg 2.157 0.000 2.679
Mg 2.157 0.000 8.038
Co 0.000 0.000 4.290
Co 0.000 0.000 6.427
Co 2.157 2.157 1.069
Co 2.157 2.157 9.648
```